No. 1
Crystalline Ba2YRu at its relaxed geometry, computed with PBE.

Cell lengths 3.8126, 4.2816, 9.6798 Å; angles 77.29, 90.00, 90.00 degrees
Atoms (fractional coordinates):
Ru1 0.0000 0.2604 0.6044
Ba1 0.0000 0.0989 0.9286
Ba2 0.5000 0.4005 0.3221
Y1 0.5000 0.7402 0.6449

## Properties
The formation energy comes out at 0.103 eV/atom.



No. 2
Crystalline PuThPtRh at its relaxed geometry, computed with PBE.

Cell lengths 5.0072, 5.0072, 5.0072 Å; angles 60.00, 60.00, 60.00 degrees
Site moments in Bohr magnetons follow the coordinates.
Atoms (fractional coordinates):
Pu1 0.0000 0.0000 0.0000  5.27
Rh1 0.7500 0.7500 0.7500  -0.10
Th1 0.5000 0.5000 0.5000  0.21
Pt1 0.2500 0.2500 0.2500  -0.01

## Properties
The formation energy comes out at -0.737 eV/atom.



| no. | raw total energy (eV/atom) |
| --- | --- |
| 1 | -4.79 |
| 2 | -9.52 |